1.
AgBiTe: relaxed, GGA-PBE.

Unit cell a=8.951 b=4.612 c=8.649 alpha=90.00 beta=90.00 gamma=90.00
Sites, in units of the cell vectors:
Ag 0.006 0.250 0.233
Ag 0.494 0.750 0.733
Ag 0.506 0.250 0.267
Ag 0.994 0.750 0.767
Bi 0.133 0.750 0.463
Bi 0.367 0.250 0.963
Bi 0.633 0.750 0.037
Bi 0.867 0.250 0.537
Te 0.153 0.750 0.053
Te 0.347 0.250 0.553
Te 0.653 0.750 0.447
Te 0.847 0.250 0.947

Calculated values
total DFT energy (no corrections) = -3.28 eV per atom
symmetry = Pnma, No. 62


2.
AgBiTe: relaxed, GGA-PBE.

Unit cell a=6.975 b=4.355 c=12.101 alpha=90.00 beta=90.00 gamma=90.00
Sites, in units of the cell vectors:
Ag 0.087 0.250 0.133
Ag 0.413 0.750 0.633
Ag 0.587 0.250 0.367
Ag 0.913 0.750 0.867
Bi 0.187 0.250 0.869
Bi 0.313 0.750 0.369
Bi 0.687 0.250 0.631
Bi 0.813 0.750 0.131
Te 0.159 0.250 0.625
Te 0.341 0.750 0.125
Te 0.659 0.250 0.875
Te 0.841 0.750 0.375

Calculated values
total DFT energy (no corrections) = -3.31 eV per atom
symmetry = Pnma, No. 62


3.
AgBiTe: relaxed, GGA-PBE.

Unit cell a=4.511 b=4.511 c=9.638 alpha=90.00 beta=90.00 gamma=120.00
Sites, in units of the cell vectors:
Ag 0.000 0.000 0.000
Ag 0.000 0.000 0.500
Bi 0.333 0.667 0.343
Bi 0.667 0.333 0.843
Te 0.333 0.667 0.651
Te 0.667 0.333 0.151

Calculated values
total DFT energy (no corrections) = -3.24 eV per atom
symmetry = P6_3mc, No. 186


4.
Tl3Ag3Bi2: relaxed, GGA-PBE.

Unit cell a=8.294 b=8.294 c=8.294 alpha=40.95 beta=40.95 gamma=40.95
Sites, in units of the cell vectors:
Tl 0.000 0.000 0.000
Tl 0.424 0.424 0.424
Tl 0.576 0.576 0.576
Ag 0.000 0.000 0.500
Ag 0.000 0.500 0.000
Ag 0.500 0.000 0.000
Bi 0.274 0.274 0.274
Bi 0.726 0.726 0.726

Calculated values
total DFT energy (no corrections) = -2.90 eV per atom
symmetry = R-3m, No. 166


5.
Tl5Ag2Bi: relaxed, GGA-PBE.

Unit cell a=5.512 b=5.512 c=8.731 alpha=90.00 beta=90.00 gamma=90.00
Sites, in units of the cell vectors:
Tl 0.000 0.000 0.000
Tl 0.000 0.500 0.248
Tl 0.000 0.500 0.752
Tl 0.500 0.000 0.248
Tl 0.500 0.000 0.752
Ag 0.000 0.000 0.346
Ag 0.000 0.000 0.654
Bi 0.500 0.500 0.000

Calculated values
total DFT energy (no corrections) = -2.56 eV per atom
symmetry = P4/mmm, No. 123


6.
TlAgBi: relaxed, GGA-PBE.

Unit cell a=5.093 b=5.093 c=5.093 alpha=60.00 beta=60.00 gamma=60.00
Sites, in units of the cell vectors:
Tl 0.000 0.000 0.000
Ag 0.500 0.500 0.500
Bi 0.750 0.750 0.750

Calculated values
total DFT energy (no corrections) = -2.84 eV per atom
symmetry = F-43m, No. 216


7.
AgBi5W3: relaxed, GGA-PBE.

Unit cell a=5.650 b=5.650 c=8.724 alpha=90.00 beta=90.00 gamma=120.00
Sites, in units of the cell vectors:
Ag 0.000 0.000 0.000
Bi 0.000 0.000 0.500
Bi 0.333 0.667 0.210
Bi 0.333 0.667 0.790
Bi 0.667 0.333 0.210
Bi 0.667 0.333 0.790
W 0.000 0.500 0.500
W 0.500 0.000 0.500
W 0.500 0.500 0.500

Calculated values
total DFT energy (no corrections) = -6.35 eV per atom
symmetry = P6/mmm, No. 191


8.
YAgBi2: relaxed, GGA-PBE.

Unit cell a=5.369 b=5.369 c=5.369 alpha=60.00 beta=60.00 gamma=60.00
Sites, in units of the cell vectors:
Y 0.000 0.000 0.000
Ag 0.750 0.750 0.750
Bi 0.250 0.250 0.250
Bi 0.500 0.500 0.500

Calculated values
total DFT energy (no corrections) = -4.49 eV per atom
symmetry = F-43m, No. 216


9.
YAg2Bi: relaxed, GGA-PBE.

Unit cell a=5.083 b=5.083 c=5.083 alpha=60.00 beta=60.00 gamma=60.00
Sites, in units of the cell vectors:
Y 0.000 0.000 0.000
Ag 0.250 0.250 0.250
Ag 0.500 0.500 0.500
Bi 0.750 0.750 0.750

Calculated values
total DFT energy (no corrections) = -4.29 eV per atom
symmetry = F-43m, No. 216


10.
Y2AgBi: relaxed, GGA-PBE.

Unit cell a=5.357 b=5.357 c=5.357 alpha=60.00 beta=60.00 gamma=60.00
Sites, in units of the cell vectors:
Y 0.000 0.000 0.000
Y 0.250 0.250 0.250
Ag 0.500 0.500 0.500
Bi 0.750 0.750 0.750

Calculated values
total DFT energy (no corrections) = -4.92 eV per atom
symmetry = F-43m, No. 216


11.
ZnAg2Bi: relaxed, GGA-PBE.

Unit cell a=4.923 b=4.923 c=4.923 alpha=60.00 beta=60.00 gamma=60.00
Sites, in units of the cell vectors:
Zn 0.000 0.000 0.000
Ag 0.250 0.250 0.250
Ag 0.500 0.500 0.500
Bi 0.750 0.750 0.750

Calculated values
total DFT energy (no corrections) = -2.56 eV per atom
symmetry = F-43m, No. 216


12.
ZrAgBi: relaxed, GGA-PBE.

Unit cell a=4.833 b=4.833 c=4.833 alpha=60.00 beta=60.00 gamma=60.00
Sites, in units of the cell vectors:
Zr 0.000 0.000 0.000
Ag 0.750 0.750 0.750
Bi 0.250 0.250 0.250

Calculated values
total DFT energy (no corrections) = -5.02 eV per atom
symmetry = F-43m, No. 216


13.
ZrAg2Bi: relaxed, GGA-PBE.

Unit cell a=4.943 b=4.943 c=4.943 alpha=60.00 beta=60.00 gamma=60.00
Sites, in units of the cell vectors:
Zr 0.000 0.000 0.000
Ag 0.250 0.250 0.250
Ag 0.500 0.500 0.500
Bi 0.750 0.750 0.750

Calculated values
total DFT energy (no corrections) = -4.48 eV per atom
symmetry = F-43m, No. 216


14.
Zr2Ag2Bi: relaxed, GGA-PBE.

Unit cell a=7.067 b=7.067 c=7.067 alpha=145.64 beta=145.64 gamma=49.39
Sites, in units of the cell vectors:
Zr 0.106 0.106 0.000
Zr 0.894 0.894 0.000
Ag 0.250 0.750 0.500
Ag 0.750 0.250 0.500
Bi 0.500 0.500 0.000

Calculated values
total DFT energy (no corrections) = -5.06 eV per atom
symmetry = I4/mmm, No. 139


15.
Zr2AgBi: relaxed, GGA-PBE.

Unit cell a=5.078 b=5.078 c=5.078 alpha=60.00 beta=60.00 gamma=60.00
Sites, in units of the cell vectors:
Zr 0.000 0.000 0.000
Zr 0.250 0.250 0.250
Ag 0.750 0.750 0.750
Bi 0.500 0.500 0.500

Calculated values
total DFT energy (no corrections) = -5.70 eV per atom
symmetry = F-43m, No. 216


16.
Zr3AgBi5: relaxed, GGA-PBE.

Unit cell a=5.984 b=5.984 c=8.902 alpha=90.00 beta=90.00 gamma=120.00
Sites, in units of the cell vectors:
Zr 0.000 0.500 0.000
Zr 0.500 0.000 0.000
Zr 0.500 0.500 0.000
Ag 0.000 0.000 0.500
Bi 0.000 0.000 0.000
Bi 0.333 0.667 0.300
Bi 0.333 0.667 0.700
Bi 0.667 0.333 0.300
Bi 0.667 0.333 0.700

Calculated values
total DFT energy (no corrections) = -5.40 eV per atom
symmetry = P6/mmm, No. 191


17.
AgPH19C23BrN: relaxed, GGA-PBE.

Unit cell a=9.053 b=9.592 c=12.926 alpha=104.10 beta=108.22 gamma=93.48
Sites, in units of the cell vectors:
Ag 0.034 0.481 0.390
Ag 0.966 0.519 0.610
P 0.001 0.280 0.228
P 0.999 0.720 0.772
H 0.043 0.843 0.599
H 0.049 0.807 0.369
H 0.055 0.709 0.167
H 0.085 0.247 0.017
H 0.118 0.995 0.169
H 0.185 0.079 0.607
H 0.206 0.964 0.965
H 0.234 0.030 0.414
H 0.285 0.606 0.858
H 0.297 0.453 0.277
H 0.317 0.624 0.201
H 0.337 0.254 0.790
H 0.351 0.194 0.972
H 0.378 0.938 0.163
H 0.389 0.208 0.458
H 0.403 0.863 0.792
H 0.408 0.582 0.494
H 0.429 0.569 0.045
H 0.444 0.604 0.733
H 0.556 0.396 0.267
H 0.571 0.431 0.955
H 0.592 0.418 0.506
H 0.597 0.137 0.208
H 0.611 0.792 0.542
H 0.622 0.062 0.837
H 0.649 0.806 0.028
H 0.663 0.746 0.210
H 0.683 0.376 0.799
H 0.703 0.547 0.723
H 0.715 0.394 0.142
H 0.766 0.970 0.586
H 0.794 0.036 0.035
H 0.815 0.921 0.393
H 0.882 0.005 0.831
H 0.915 0.753 0.983
H 0.945 0.291 0.833
H 0.951 0.193 0.631
H 0.957 0.157 0.401
C 0.028 0.712 0.996
C 0.093 0.686 0.909
C 0.107 0.688 0.100
C 0.108 0.922 0.681
C 0.112 0.890 0.782
C 0.175 0.808 0.407
C 0.189 0.053 0.685
C 0.189 0.228 0.221
C 0.200 0.989 0.886
C 0.213 0.083 0.190
C 0.237 0.631 0.927
C 0.253 0.639 0.119
C 0.275 0.152 0.789
C 0.280 0.933 0.433
C 0.282 0.119 0.890
C 0.314 0.340 0.249
C 0.317 0.609 0.032
C 0.360 0.051 0.186
C 0.375 0.683 0.476
C 0.442 0.934 0.484
C 0.460 0.308 0.243
C 0.483 0.163 0.211
C 0.488 0.803 0.504
C 0.512 0.197 0.496
C 0.517 0.837 0.789
C 0.540 0.692 0.757
C 0.558 0.066 0.516
C 0.625 0.317 0.524
C 0.640 0.949 0.814
C 0.683 0.391 0.968
C 0.686 0.660 0.751
C 0.718 0.881 0.110
C 0.720 0.067 0.567
C 0.725 0.848 0.211
C 0.747 0.361 0.881
C 0.763 0.369 0.073
C 0.787 0.917 0.810
C 0.800 0.011 0.114
C 0.811 0.772 0.779
C 0.811 0.947 0.315
C 0.825 0.192 0.593
C 0.888 0.110 0.218
C 0.892 0.078 0.319
C 0.893 0.312 0.900
C 0.907 0.314 0.091
C 0.972 0.288 0.004
Br 0.206 0.382 0.578
Br 0.794 0.618 0.422
N 0.220 0.684 0.429
N 0.780 0.316 0.571

Calculated values
total DFT energy (no corrections) = -6.42 eV per atom
symmetry = P-1, No. 2


18.
CdAg2I2Br2: relaxed, GGA-PBE.

Unit cell a=7.691 b=7.691 c=6.348 alpha=113.56 beta=113.56 gamma=109.88
Sites, in units of the cell vectors:
Cd 0.000 0.000 0.000
Ag 0.244 0.756 0.500
Ag 0.501 0.499 0.000
I 0.098 0.364 0.499
I 0.636 0.902 0.501
Br 0.374 0.122 0.010
Br 0.878 0.626 0.990

Calculated values
total DFT energy (no corrections) = -2.34 eV per atom
symmetry = C2, No. 5


19.
K2CdAgBr6: relaxed, GGA-PBE.

Unit cell a=7.750 b=7.750 c=7.750 alpha=60.00 beta=60.00 gamma=60.00
Sites, in units of the cell vectors:
K 0.250 0.250 0.250
K 0.750 0.750 0.750
Cd 0.000 0.000 0.000
Ag 0.500 0.500 0.500
Br 0.251 0.251 0.749
Br 0.251 0.749 0.251
Br 0.251 0.749 0.749
Br 0.749 0.251 0.251
Br 0.749 0.251 0.749
Br 0.749 0.749 0.251

Calculated values
total DFT energy (no corrections) = -2.57 eV per atom
symmetry = Fm-3m, No. 225


20.
Rb2CdAgBr6: relaxed, GGA-PBE.

Unit cell a=7.786 b=7.786 c=7.786 alpha=60.00 beta=60.00 gamma=60.00
Sites, in units of the cell vectors:
Rb 0.250 0.250 0.250
Rb 0.750 0.750 0.750
Cd 0.000 0.000 0.000
Ag 0.500 0.500 0.500
Br 0.251 0.251 0.749
Br 0.251 0.749 0.251
Br 0.251 0.749 0.749
Br 0.749 0.251 0.251
Br 0.749 0.251 0.749
Br 0.749 0.749 0.251

Calculated values
total DFT energy (no corrections) = -2.58 eV per atom
symmetry = Fm-3m, No. 225


21.
AgBr2Cl: relaxed, GGA-PBE.

Unit cell a=8.205 b=8.205 c=8.205 alpha=30.57 beta=30.57 gamma=30.57
Sites, in units of the cell vectors:
Ag 0.000 0.000 0.000
Br 0.395 0.395 0.395
Br 0.605 0.605 0.605
Cl 0.500 0.500 0.500

Calculated values
total DFT energy (no corrections) = -2.14 eV per atom
symmetry = R-3m, No. 166


22.
Ag2BrCl3: relaxed, GGA-PBE.

Unit cell a=6.698 b=3.664 c=7.558 alpha=90.00 beta=113.79 gamma=90.00
Sites, in units of the cell vectors:
Ag 0.000 0.000 0.000
Ag 0.492 0.500 0.500
Br 0.768 0.000 0.506
Cl 0.239 0.000 0.491
Cl 0.255 0.500 0.010
Cl 0.746 0.500 0.991

Calculated values
total DFT energy (no corrections) = -2.46 eV per atom
symmetry = Pm, No. 6